No. 1
This record from Alexandria via LeMat-Bulk describes NaMgRuCl2 after structural relaxation. The functional is PBE.

Geometry as POSCAR:
```
NaMgRuCl2
1.0
4.899 0.000 0.000
0.000 4.899 0.000
0.000 0.000 5.581
Na Mg Ru Cl
1 1 1 2
Direct
0.000 0.000 0.000
0.500 0.500 0.500
0.000 0.000 0.500
0.000 0.500 0.000
0.500 0.000 0.000
```

Results
Formation energy without anion corrections = 0.403 eV/atom
E = -2.77 eV/atom

No. 2
This record from Alexandria via LeMat-Bulk describes Cu2Te2Se3 after structural relaxation. The functional is PBE.

Geometry as POSCAR:
```
Cu2Te2Se3
1.0
5.980 -1.917 0.000
5.980 1.917 0.000
-2.746 0.000 7.163
Cu Te Se
2 2 3
Direct
0.145 0.145 0.336
0.855 0.855 0.664
0.467 0.467 0.278
0.533 0.533 0.722
0.000 0.000 0.000
0.218 0.218 0.674
0.782 0.782 0.326
```

Results
Formation energy without anion corrections = 0.041 eV/atom
E = -3.52 eV/atom

No. 3
This record from Alexandria via LeMat-Bulk describes BaZnHgPt2 after structural relaxation. The functional is PBE.

Geometry as POSCAR:
```
BaZnHgPt2
1.0
5.275 0.000 0.000
0.000 5.275 0.000
0.000 0.000 4.867
Ba Zn Hg Pt
1 1 1 2
Direct
0.000 0.000 0.000
0.500 0.500 0.000
0.500 0.500 0.500
0.000 0.500 0.500
0.500 0.000 0.500
```

Results
E = -3.06 eV/atom
Energy relative to the elements = 0.30 eV per formula unit

No. 4
This record from Alexandria via LeMat-Bulk describes Pu2PaPt after structural relaxation. The functional is PBE.

Geometry as POSCAR:
```
Pu2PaPt
1.0
0.000 3.527 3.527
3.527 0.000 3.527
3.527 3.527 0.000
Pu Pa Pt
2 1 1
Direct
0.250 0.250 0.250
0.750 0.750 0.750
0.000 0.000 0.000
0.500 0.500 0.500
```

Results
Energy above the lowest structure with this stoichiometry = 96 meV per atom
E = -11.31 eV/atom
Energy relative to the elements = -1.02 eV per formula unit

No. 5
This record from Alexandria via LeMat-Bulk describes AlPt2Br after structural relaxation. The functional is PBE.

Geometry as POSCAR:
```
AlPt2Br
1.0
-1.951 1.951 4.446
1.951 -1.951 4.446
1.951 1.951 -4.446
Al Pt Br
1 2 1
Direct
0.000 0.000 0.000
0.500 0.500 0.000
0.750 0.250 0.500
0.250 0.750 0.500
```

Results
Formation energy without anion corrections = 0.130 eV/atom
Energy above the lowest structure with this stoichiometry = 571 meV per atom
E = -4.24 eV/atom

No. 6
This record from Alexandria via LeMat-Bulk describes Na2HCl3 after structural relaxation. The functional is PBE.

Geometry as POSCAR:
```
Na2HCl3
1.0
3.329 -6.081 0.000
3.329 6.081 0.000
-0.010 0.000 7.206
Na H Cl
4 2 6
Direct
0.204 0.796 0.000
0.205 0.795 0.500
0.795 0.205 0.500
0.796 0.204 0.000
0.395 0.395 0.249
0.605 0.605 0.751
0.134 0.465 0.750
0.199 0.199 0.250
0.465 0.134 0.750
0.535 0.866 0.250
0.801 0.801 0.750
0.866 0.535 0.250
```

Results
Energy above the lowest structure with this stoichiometry = 49 meV per atom
E = -3.22 eV/atom

No. 7
This record from Alexandria via LeMat-Bulk describes V2SiNi6 after structural relaxation. The functional is PBE.

Geometry as POSCAR:
```
V2SiNi6
1.0
3.357 -6.193 0.000
3.357 6.193 0.000
0.000 0.000 2.534
V Si Ni
2 1 6
Direct
0.183 0.817 0.000
0.817 0.183 0.000
0.500 0.500 0.500
0.157 0.478 0.500
0.190 0.190 0.000
0.478 0.157 0.500
0.522 0.843 0.500
0.810 0.810 0.000
0.843 0.522 0.500
```

Results
Formation energy without anion corrections = -0.161 eV/atom
E = -6.64 eV/atom

No. 8
This record from Alexandria via LeMat-Bulk describes CaFe2Cu after structural relaxation. The functional is PBE.

Geometry as POSCAR:
```
CaFe2Cu
1.0
2.643 -4.657 0.000
2.643 4.657 0.000
-1.071 0.000 2.493
Ca Fe Cu
1 2 1
Direct
0.000 0.000 0.000
0.000 0.500 0.500
0.500 0.000 0.500
0.500 0.500 0.000
```

Results
E = -5.19 eV/atom
Energy relative to the elements = 2.25 eV per formula unit

No. 9
This record from Alexandria via LeMat-Bulk describes PrH4Ir after structural relaxation. The functional is PBE.

Geometry as POSCAR:
```
PrH4Ir
1.0
4.030 -2.277 0.000
4.030 2.277 0.000
-2.228 0.000 7.007
Pr H Ir
2 8 2
Direct
0.212 0.788 0.750
0.788 0.212 0.250
0.146 0.269 0.602
0.265 0.668 0.083
0.269 0.146 0.102
0.332 0.735 0.417
0.668 0.265 0.583
0.731 0.854 0.898
0.735 0.332 0.917
0.854 0.731 0.398
0.000 0.500 0.000
0.500 0.000 0.500
```

Results
Energy above the lowest structure with this stoichiometry = 0 meV per atom
E = -5.00 eV/atom

No. 10
This record from Alexandria via LeMat-Bulk describes MnSb2TeMo after structural relaxation. The functional is PBE.

Geometry as POSCAR:
```
MnSb2TeMo
1.0
5.244 0.000 0.000
0.000 5.244 0.000
0.000 0.000 5.328
Mn Sb Te Mo
1 2 1 1
Direct
0.000 0.000 0.000
0.000 0.500 0.500
0.500 0.000 0.500
0.500 0.500 0.000
0.500 0.500 0.500
```

Results
Formation energy without anion corrections = 0.810 eV/atom
Energy above the lowest structure with this stoichiometry = 0 meV per atom
E = -5.47 eV/atom

No. 11
This record from Alexandria via LeMat-Bulk describes Ba2NiCl6 after structural relaxation. The functional is PBE.

Geometry as POSCAR:
```
Ba2NiCl6
1.0
6.713 0.000 0.000
0.000 7.806 0.000
-6.491 0.000 9.647
Ba Ni Cl
4 2 12
Direct
0.219 0.100 0.256
0.219 0.400 0.756
0.781 0.600 0.244
0.781 0.900 0.744
0.500 0.000 0.000
0.500 0.500 0.500
0.159 0.160 0.960
0.159 0.340 0.460
0.292 0.718 0.955
0.292 0.782 0.455
0.342 0.015 0.759
0.342 0.485 0.259
0.658 0.515 0.741
0.658 0.985 0.241
0.708 0.218 0.545
0.708 0.282 0.045
0.841 0.660 0.540
0.841 0.840 0.040
```

Results
Formation energy without anion corrections = -1.875 eV/atom
Energy above the lowest structure with this stoichiometry = 0 meV per atom
E = -4.18 eV/atom

No. 12
This record from Alexandria via LeMat-Bulk describes TlAgI3 after structural relaxation. The functional is PBE.

Geometry as POSCAR:
```
TlAgI3
1.0
6.091 0.000 0.000
0.000 6.091 0.000
0.000 0.000 6.091
Tl Ag I
1 1 3
Direct
0.000 0.000 0.000
0.500 0.500 0.500
0.000 0.000 0.500
0.000 0.500 0.000
0.500 0.000 0.000
```

Results
Formation energy without anion corrections = 0.138 eV/atom
E = -1.84 eV/atom

No. 13
This record from Alexandria via LeMat-Bulk describes FeCuTc2 after structural relaxation. The functional is PBE.

Geometry as POSCAR:
```
FeCuTc2
1.0
1.331 0.768 8.656
-1.331 0.768 8.656
0.000 -1.537 8.656
Fe Cu Tc
1 1 2
Direct
0.000 0.000 0.000
0.500 0.500 0.500
0.253 0.253 0.253
0.747 0.747 0.747
```

Results
Energy above the lowest structure with this stoichiometry = 55 meV per atom
E = -8.11 eV/atom
Energy relative to the elements = 0.84 eV per formula unit

No. 14
This record from Alexandria via LeMat-Bulk describes ZnAgHg2F8 after structural relaxation. The functional is PBE.

Geometry as POSCAR:
```
ZnAgHg2F8
1.0
-3.385 3.385 4.123
3.385 -3.385 4.123
3.385 3.385 -4.123
Zn Ag Hg F
1 1 2 8
Direct
0.000 0.000 0.000
0.750 0.250 0.500
0.250 0.750 0.500
0.500 0.500 0.000
0.043 0.333 0.291
0.043 0.752 0.709
0.091 0.278 0.813
0.248 0.957 0.291
0.465 0.278 0.187
0.667 0.957 0.709
0.722 0.535 0.813
0.722 0.909 0.187
```

Results
Formation energy without anion corrections = -1.458 eV/atom
E = -3.10 eV/atom

No. 15
This record from Alexandria via LeMat-Bulk describes Mg14BMo after structural relaxation. The functional is PBE.

Geometry as POSCAR:
```
Mg14BMo
1.0
6.199 0.000 0.000
-3.099 5.368 0.000
0.000 0.000 9.674
Mg B Mo
14 1 1
Direct
0.000 0.000 0.247
0.000 0.000 0.753
0.022 0.511 0.258
0.022 0.511 0.742
0.330 0.165 0.500
0.339 0.170 0.000
0.489 0.511 0.258
0.489 0.511 0.742
0.489 0.978 0.258
0.489 0.978 0.742
0.830 0.170 0.000
0.830 0.661 0.000
0.835 0.165 0.500
0.835 0.670 0.500
0.333 0.667 0.500
0.333 0.667 0.000
```

Results
Energy above the lowest structure with this stoichiometry = 68 meV per atom
E = -2.23 eV/atom
Energy relative to the elements = 4.09 eV per formula unit

No. 16
This record from Alexandria via LeMat-Bulk describes PmMnIr2 after structural relaxation. The functional is PBE.

Geometry as POSCAR:
```
PmMnIr2
1.0
3.154 0.000 0.000
0.000 3.154 0.000
0.000 0.000 7.087
Pm Mn Ir
1 1 2
Direct
0.000 0.000 0.000
0.000 0.000 0.500
0.500 0.500 0.296
0.500 0.500 0.704
```

Results
E = -8.13 eV/atom
Energy relative to the elements = -0.86 eV per formula unit

No. 17
This record from Alexandria via LeMat-Bulk describes Ca2IrOsO6 after structural relaxation. The functional is PBE.

Geometry as POSCAR:
```
Ca2IrOsO6
1.0
5.601 0.000 0.000
0.000 5.601 0.000
0.000 0.000 4.028
Ca Ir Os O
2 1 1 6
Direct
0.000 0.500 0.000
0.500 0.000 0.000
0.000 0.000 0.581
0.500 0.500 0.577
0.000 0.000 0.088
0.253 0.253 0.637
0.253 0.747 0.637
0.500 0.500 0.092
0.747 0.253 0.637
0.747 0.747 0.637
```

Results
Formation energy without anion corrections = -1.493 eV/atom
E = -6.88 eV/atom

No. 18
This record from Alexandria via LeMat-Bulk describes Zr4P3 after structural relaxation. The functional is PBE.

Geometry as POSCAR:
```
Zr4P3
1.0
5.408 0.000 0.000
-2.704 4.684 0.000
0.000 0.000 4.972
Zr P
4 3
Direct
0.000 0.000 0.246
0.000 0.000 0.754
0.333 0.667 0.000
0.667 0.333 0.000
0.000 0.500 0.500
0.500 0.000 0.500
0.500 0.500 0.500
```

Results
Energy above the lowest structure with this stoichiometry = 564 meV per atom
E = -7.57 eV/atom
Energy relative to the elements = -2.54 eV per formula unit

No. 19
This record from Alexandria via LeMat-Bulk describes ErNi5Sn after structural relaxation. The functional is PBE.

Geometry as POSCAR:
```
ErNi5Sn
1.0
8.027 0.000 0.000
0.000 4.852 0.000
0.000 0.000 10.231
Er Ni Sn
4 20 4
Direct
0.247 0.250 0.060
0.253 0.750 0.560
0.747 0.250 0.440
0.753 0.750 0.940
0.049 0.250 0.599
0.066 0.501 0.809
0.066 0.999 0.809
0.085 0.750 0.017
0.188 0.750 0.243
0.312 0.250 0.743
0.415 0.250 0.517
0.434 0.001 0.309
0.434 0.499 0.309
0.451 0.750 0.099
0.549 0.250 0.901
0.566 0.501 0.691
0.566 0.999 0.691
0.585 0.750 0.483
0.688 0.750 0.257
0.812 0.250 0.757
0.915 0.250 0.983
0.934 0.001 0.191
0.934 0.499 0.191
0.951 0.750 0.401
0.140 0.250 0.361
0.360 0.750 0.861
0.640 0.250 0.139
0.860 0.750 0.639
```

Results
E = -5.73 eV/atom
Energy relative to the elements = -2.67 eV per formula unit

No. 20
This record from Alexandria via LeMat-Bulk describes Ce2HoBe2Pt7 after structural relaxation. The functional is PBE.

Geometry as POSCAR:
```
Ce2HoBe2Pt7
1.0
2.864 -2.839 0.000
2.864 2.839 0.000
-2.028 0.000 13.150
Ce Ho Be Pt
2 1 2 7
Direct
0.113 0.113 0.348
0.887 0.887 0.652
0.000 0.000 0.000
0.410 0.410 0.749
0.590 0.590 0.251
0.059 0.558 0.165
0.361 0.361 0.575
0.442 0.941 0.835
0.500 0.500 0.000
0.558 0.059 0.165
0.639 0.639 0.425
0.941 0.442 0.835
```

Results
E = -6.52 eV/atom
Energy relative to the elements = -12.10 eV per formula unit

No. 21
This record from Alexandria via LeMat-Bulk describes SnS6Br2 after structural relaxation. The functional is PBE.

Geometry as POSCAR:
```
SnS6Br2
1.0
4.403 0.000 0.000
-0.056 8.225 0.000
-0.051 -2.643 7.802
Sn S Br
1 6 2
Direct
0.000 0.000 0.000
0.083 0.276 0.523
0.083 0.523 0.277
0.143 0.686 0.686
0.857 0.314 0.314
0.917 0.477 0.723
0.917 0.724 0.477
0.500 0.150 0.851
0.500 0.850 0.149
```

Results
Formation energy without anion corrections = -0.172 eV/atom
E = -3.74 eV/atom

No. 22
This record from Alexandria via LeMat-Bulk describes Li2ZrNpTe4 after structural relaxation. The functional is PBE.

Geometry as POSCAR:
```
Li2ZrNpTe4
1.0
7.261 0.000 0.000
0.000 4.187 0.000
-2.395 0.000 7.158
Li Zr Np Te
2 1 1 4
Direct
0.000 0.000 0.000
0.500 0.500 0.000
0.000 0.500 0.500
0.500 0.000 0.500
0.235 0.500 0.241
0.239 0.000 0.751
0.761 0.000 0.249
0.765 0.500 0.759
```

Results
Formation energy without anion corrections = -0.844 eV/atom
E = -5.58 eV/atom

No. 23
This record from Alexandria via LeMat-Bulk describes BeCo2Os after structural relaxation. The functional is PBE.

Geometry as POSCAR:
```
BeCo2Os
1.0
1.301 0.751 7.735
-1.301 0.751 7.735
0.000 -1.502 7.735
Be Co Os
1 2 1
Direct
0.000 0.000 0.000
0.257 0.257 0.257
0.743 0.743 0.743
0.500 0.500 0.500
```

Results
E = -7.18 eV/atom
Energy relative to the elements = 0.46 eV per formula unit

No. 24
This record from Alexandria via LeMat-Bulk describes Ca2WAu after structural relaxation. The functional is PBE.

Geometry as POSCAR:
```
Ca2WAu
1.0
1.633 0.943 10.433
-1.633 0.943 10.433
0.000 -1.886 10.433
Ca W Au
2 1 1
Direct
0.000 0.000 0.000
0.224 0.224 0.224
0.746 0.746 0.746
0.479 0.479 0.479
```

Results
Energy above the lowest structure with this stoichiometry = 360 meV per atom
E = -4.40 eV/atom
Energy relative to the elements = 2.63 eV per formula unit